# 1
An optimized crystal structure of CaBr2F, computed with PBE-GGA.

POSCAR file:
```
CaBr2F
1.0
4.231 0.000 0.000
0.000 4.231 0.000
0.000 0.000 21.321
Ca Br F
4 8 4
direct
0.000 0.000 0.000 Ca
0.000 0.500 0.250 Ca
0.500 0.000 0.750 Ca
0.500 0.500 0.500 Ca
0.248 0.250 0.125 Br
0.250 0.748 0.375 Br
0.250 0.752 0.875 Br
0.252 0.250 0.625 Br
0.748 0.750 0.625 Br
0.750 0.248 0.875 Br
0.750 0.252 0.375 Br
0.752 0.750 0.125 Br
0.000 0.000 0.500 F
0.000 0.500 0.750 F
0.500 0.000 0.250 F
0.500 0.500 0.000 F
```

Computed properties:
- Space-group type: I-42d, No. 122
- Total magnetic moment: 0.0 μB/f.u.
- E_tot: -0.12159 hartree per atom


# 2
An optimized crystal structure of SmPPd2, computed with PBE-GGA.

POSCAR file:
```
SmPPd2
1.0
3.992 0.000 0.000
0.000 18.379 0.000
0.000 0.000 4.127
Sm P Pd
4 4 8
direct
0.000 0.110 0.250 Sm
0.000 0.890 0.750 Sm
0.500 0.390 0.750 Sm
0.500 0.610 0.250 Sm
0.000 0.327 0.250 P
0.000 0.673 0.750 P
0.500 0.173 0.750 P
0.500 0.827 0.250 P
0.000 0.248 0.750 Pd
0.000 0.454 0.250 Pd
0.000 0.546 0.750 Pd
0.000 0.752 0.250 Pd
0.500 0.046 0.750 Pd
0.500 0.252 0.250 Pd
0.500 0.748 0.750 Pd
0.500 0.954 0.250 Pd
```

Computed properties:
- Space-group type: Cmcm, No. 63
- Total magnetic moment: 0.0 μB/f.u.
- Formation enthalpy at 0 K: -0.93 eV per atom


# 3
An optimized crystal structure of PmErSn, computed with PBE-GGA.

POSCAR file:
```
PmErSn
1.0
5.122 0.000 0.000
-2.561 4.436 0.000
0.000 0.000 3.929
Pm Er Sn
1 1 1
direct
0.000 0.000 0.000 Pm
0.667 0.333 0.551 Er
0.333 0.667 0.356 Sn
```

Computed properties:
- Space-group type: P3m1, No. 156
- Total magnetic moment: 0.0 μB/f.u.
- Formation enthalpy at 0 K: -0.37 eV per atom


# 4
An optimized crystal structure of TmInCu4, computed with PBE-GGA.

POSCAR file:
```
TmInCu4
1.0
0.000 3.605 3.605
3.605 0.000 3.605
3.605 3.605 0.000
Tm In Cu
1 1 4
direct
0.000 0.000 0.000 Tm
0.750 0.750 0.750 In
0.375 0.375 0.375 Cu
0.375 0.375 0.874 Cu
0.375 0.874 0.375 Cu
0.874 0.375 0.375 Cu
```

Computed properties:
- Space-group type: F-43m, No. 216
- Total magnetic moment: 0.0 μB/f.u.
- Formation enthalpy at 0 K: -0.29 eV per atom